No. 1
YNi2Ru: optimized geometry, PBE.

For the total energy, the calculation gives -6.72 eV per atom. The energy relative to the elements is 101.1 meV/atom. As for the energy above the lowest structure with this stoichiometry: 0.287 eV per atom. The value obtained for the density of states at the Fermi level is 1.43 states/eV per atom. The value obtained for the calculated volume is 62 Å³/f.u.

The structure belongs to space group F-43m (No. 216); the cell edges are 6.2902, 6.2902 and 6.2902 Å and the angles 90.00°, 90.00° and 90.00°. The distinct sites, in fractional coordinates, are Y at (0.0000, 0.0000, 0.0000), Ni at (0.0000, 0.0000, 0.5000), Ni at (0.2500, 0.2500, 0.2500) and Ru at (0.2500, 0.2500, 0.7500).


No. 2
YNiRu2: optimized geometry, PBE.

For the total energy, the calculation gives -7.40 eV per atom. The energy relative to the elements is 299.9 meV/atom. As for the energy above the lowest structure with this stoichiometry: 0.251 eV per atom. The value obtained for the density of states at the Fermi level is 1.54 states/eV per atom. The value obtained for the calculated volume is 74 Å³/f.u.

The structure belongs to space group I-42d (No. 122); the cell edges are 4.0087, 4.0087 and 18.3029 Å and the angles 90.00°, 90.00° and 90.00°. The distinct sites, in fractional coordinates, are Y at (0.0000, 0.0000, 0.0000), Ni at (0.0000, 0.0000, 0.5000) and Ru at (0.1608, 0.2500, 0.6250).


No. 3
YNiRu4: optimized geometry, PBE.

For the total energy, the calculation gives -8.00 eV per atom. The energy relative to the elements is 224.6 meV/atom. The value obtained for the density of states at the Fermi level is 1.46 states/eV per atom. The value obtained for the calculated volume is 99 Å³/f.u.

The structure belongs to space group F-43m (No. 216); the cell edges are 7.3445, 7.3445 and 7.3445 Å and the angles 90.00°, 90.00° and 90.00°. The distinct sites, in fractional coordinates, are Y at (0.0000, 0.0000, 0.0000), Ni at (0.2500, 0.2500, 0.2500) and Ru at (0.1241, 0.1241, 0.6241).


No. 4
YNiRu3: optimized geometry, PBE.

For the total energy, the calculation gives -5.71 eV per atom. The energy relative to the elements is 2309.1 meV/atom. As for the energy above the lowest structure with this stoichiometry: 1.564 eV per atom. The value obtained for the density of states at the Fermi level is 1.73 states/eV per atom. The value obtained for the calculated volume is 112 Å³/f.u.

The structure belongs to space group Pm-3m (No. 221); the cell edges are 4.8270, 4.8270 and 4.8270 Å and the angles 90.00°, 90.00° and 90.00°. The distinct sites, in fractional coordinates, are Y at (0.0000, 0.0000, 0.0000), Ni at (0.5000, 0.5000, 0.5000) and Ru at (0.0000, 0.0000, 0.5000).


No. 5
YNiRu2: optimized geometry, PBE.

For the total energy, the calculation gives -7.44 eV per atom. The energy relative to the elements is 260.4 meV/atom. As for the energy above the lowest structure with this stoichiometry: 0.211 eV per atom. The value obtained for the density of states at the Fermi level is 1.48 states/eV per atom. The value obtained for the calculated volume is 65 Å³/f.u.

The structure belongs to space group Fm-3m (No. 225); the cell edges are 6.3710, 6.3710 and 6.3710 Å and the angles 90.00°, 90.00° and 90.00°. The distinct sites, in fractional coordinates, are Y at (0.0000, 0.0000, 0.0000), Ni at (0.0000, 0.0000, 0.5000) and Ru at (0.2500, 0.2500, 0.2500).


No. 6
Y2NiRu: optimized geometry, PBE.

For the total energy, the calculation gives -7.06 eV per atom. The energy relative to the elements is -66.8 meV/atom. The value obtained for the density of states at the Fermi level is 0.40 states/eV per atom. The value obtained for the calculated volume is 84 Å³/f.u.

The structure belongs to space group Pmm2 (No. 25); the cell edges are 3.4524, 4.3016 and 5.6750 Å and the angles 90.00°, 90.00° and 90.00°. The distinct sites, in fractional coordinates, are Y at (0.0000, 0.0000, 0.0000), Y at (0.5000, 0.5000, 0.4034), Ni at (0.0000, 0.0000, 0.5202) and Ru at (0.5000, 0.5000, 0.8873).


No. 7
YNiRu2: optimized geometry, PBE.

For the total energy, the calculation gives -7.23 eV per atom. The energy relative to the elements is 472.9 meV/atom. As for the energy above the lowest structure with this stoichiometry: 0.424 eV per atom. The value obtained for the density of states at the Fermi level is 1.32 states/eV per atom. The value obtained for the calculated volume is 65 Å³/f.u.

The structure belongs to space group R3m (No. 160, hexagonal axes); the cell edges are 2.8804, 2.8804 and 27.0677 Å and the angles 90.00°, 90.00° and 120.00°. The distinct sites, in fractional coordinates, are Y at (0.0000, 0.0000, 0.0000), Ni at (0.0000, 0.0000, 0.7543), Ru at (0.0000, 0.0000, 0.2373) and Ru at (0.0000, 0.0000, 0.4972).


No. 8
Y2NiRu: optimized geometry, PBE.

For the total energy, the calculation gives -7.37 eV per atom. The energy relative to the elements is -375.1 meV/atom. The value obtained for the density of states at the Fermi level is 0.51 states/eV per atom. The value obtained for the calculated volume is 79 Å³/f.u.

The structure belongs to space group P4/mmm (No. 123); the cell edges are 3.4143, 3.4143 and 6.7873 Å and the angles 90.00°, 90.00° and 90.00°. The distinct sites, in fractional coordinates, are Y at (0.0000, 0.0000, 0.2482), Ni at (0.5000, 0.5000, 0.5000) and Ru at (0.5000, 0.5000, 0.0000).